YReAg | PBE | relaxed

The structure belongs to space group I4mm (No. 107); the cell edges are 3.4912, 3.4912 and 9.9068 Å and the angles 90.00°, 90.00° and 90.00°. The asymmetric unit holds Y at (0.0000, 0.0000, 0.0000), Re at (0.0000, 0.0000, 0.3221) and Ag at (0.0000, 0.0000, 0.6914).

The calculation puts the energy above the lowest structure with this stoichiometry at 54 meV per atom. Its theoretical density is 10.53 g/cm3. The energy relative to the elements is 0.535 eV/atom.

***

MnCu4Pt | PBE | relaxed

The structure belongs to space group F-43m (No. 216); the cell edges are 6.7947, 6.7947 and 6.7947 Å and the angles 90.00°, 90.00° and 90.00°. The asymmetric unit holds Mn at (0.0000, 0.0000, 0.0000), Cu at (0.1251, 0.1251, 0.6251) and Pt at (0.2500, 0.2500, 0.2500).

The calculation puts the energy above the lowest structure with this stoichiometry at 37 meV per atom. Its theoretical density is 10.68 g/cm3. The energy relative to the elements is -0.041 eV/atom.

***

Li2AgHSe | PBE | relaxed

The structure belongs to space group P4/mmm (No. 123); the cell edges are 4.2406, 4.2406 and 3.8682 Å and the angles 90.00°, 90.00° and 90.00°. The asymmetric unit holds Li at (0.0000, 0.5000, 0.0000), Ag at (0.0000, 0.0000, 0.5000), H at (0.0000, 0.0000, 0.0000) and Se at (0.5000, 0.5000, 0.5000).

Its theoretical density is 4.82 g/cm3. The total energy is -16.30 eV per cell.

***

Ac2ZnIn6Ag | PBE | relaxed

The structure belongs to space group R-3m (No. 166, hexagonal axes); the cell edges are 7.1867, 7.1867 and 37.9603 Å and the angles 90.00°, 90.00° and 120.00°. The asymmetric unit holds Ac at (0.0000, 0.0000, 0.1119), Ac at (0.0000, 0.0000, 0.2891), Zn at (0.0000, 0.0000, 0.4294), In at (0.0428, 0.5214, 0.2935), In at (0.0596, 0.5298, 0.8702), Ag at (0.0000, 0.0000, 0.0000) and Ag at (0.0000, 0.0000, 0.5000).

Its theoretical density is 7.72 g/cm3. The energy relative to the elements is -0.182 eV/atom.

***

Pm3As4Rh7 | PBE | relaxed

The structure belongs to space group C2/m (No. 12); the cell edges are 15.5313, 4.1008 and 9.5132 Å and the angles 90.00°, 125.08° and 90.00°. The asymmetric unit holds Pm at (0.0000, 0.0000, 0.0000), Pm at (0.1697, 0.5000, 0.6653), As at (0.1095, 0.0000, 0.8304), As at (0.1657, 0.5000, 0.2725), Rh at (0.0000, 0.0000, 0.5000), Rh at (0.0081, 0.5000, 0.2792), Rh at (0.1667, 0.0000, 0.4246) and Rh at (0.1971, 0.5000, 0.0399).

Its theoretical density is 9.75 g/cm3. The energy relative to the elements is -0.887 eV/atom.

***

Zr2FeSe | PBE | relaxed

The structure belongs to space group Cmmm (No. 65); the cell edges are 5.9483, 7.2999 and 3.3038 Å and the angles 90.00°, 90.00° and 90.00°. The asymmetric unit holds Zr at (0.2500, 0.2500, 0.0000), Fe at (0.0000, 0.0000, 0.5000) and Se at (0.0000, 0.5000, 0.5000).

Its theoretical density is 7.34 g/cm3. The calculation puts the uncorrected formation energy at -0.42 eV per atom.

***

Sc2TcHg | PBE | relaxed

The structure belongs to space group R-3m (No. 166, hexagonal axes); the cell edges are 3.2119, 3.2119 and 30.3503 Å and the angles 90.00°, 90.00° and 120.00°. The asymmetric unit holds Sc at (0.0000, 0.0000, 0.1030), Tc at (0.0000, 0.0000, 0.5000) and Hg at (0.0000, 0.0000, 0.0000).

Its theoretical density is 7.14 g/cm3. The energy relative to the elements is 0.037 eV/atom.

***

AcPuBO6 | PBE | relaxed

The structure belongs to space group P312 (No. 149); the cell edges are 5.0718, 5.0718 and 5.4385 Å and the angles 90.00°, 90.00° and 120.00°. The asymmetric unit holds Ac at (0.0000, 0.0000, 0.0000), Pu at (0.3333, 0.6667, 0.5000), B at (0.6667, 0.3333, 0.5000) and O at (0.3940, 0.0454, 0.6919).

Its theoretical density is 7.92 g/cm3. The calculation puts the uncorrected formation energy at -2.29 eV per atom.

***

LiYGa4Cu2 | PBE | relaxed

The structure belongs to space group R-3m (No. 166, hexagonal axes); the cell edges are 4.2064, 4.2064 and 25.9093 Å and the angles 90.00°, 90.00° and 120.00°. The asymmetric unit holds Li at (0.0000, 0.0000, 0.0000), Y at (0.0000, 0.0000, 0.5000), Ga at (0.0000, 0.0000, 0.1004), Ga at (0.0000, 0.0000, 0.3744) and Cu at (0.0000, 0.0000, 0.2685).

Its theoretical density is 6.30 g/cm3. The energy relative to the elements is -0.335 eV/atom.

***

AcNd8Cd2 | PBE | relaxed

The structure belongs to space group C2/m (No. 12); the cell edges are 14.6051, 11.0338 and 5.3588 Å and the angles 90.00°, 101.68° and 90.00°. The asymmetric unit holds Ac at (0.0000, 0.0000, 0.0000), Nd at (0.0819, 0.5000, 0.2917), Nd at (0.1031, 0.2666, 0.7783), Nd at (0.2467, 0.0000, 0.1303) and Cd at (0.1419, 0.0000, 0.5669).

Its theoretical density is 6.31 g/cm3. The energy relative to the elements is 0.307 eV/atom.